[1]
Sc2Ga2Sn | Alexandria | PBE-GGA | relaxed; formation energy = -0.318 eV/atom; E above lowest polymorph = 242.2 meV per atom; Fermi-level density of states = 6.089 states/eV per cell
1.0
7.9547 0.0000 0.0000
0.0000 7.9547 0.0000
0.0000 0.0000 3.3962
Sc Ga Sn
4 4 2
Cartesian
1.0758 2.9016 0.0000 Sc
2.9016 6.8789 0.0000 Sc
5.0531 1.0758 0.0000 Sc
6.8789 5.0531 0.0000 Sc
1.3653 5.3426 1.6981 Ga
2.6121 1.3653 1.6981 Ga
5.3426 6.5894 1.6981 Ga
6.5894 2.6121 1.6981 Ga
0.0000 0.0000 0.0000 Sn
3.9773 3.9773 0.0000 Sn

=====

[2]
ErPaAlO6 | Alexandria | PBE-GGA | relaxed; Fermi-level density of states = 5.802 states/eV per cell; E_form (uncorrected) = -3.05 eV/atom
1.0
5.3327 0.0000 0.0000
-2.6664 4.6183 0.0000
0.0000 0.0000 4.7173
Er Pa Al O
1 1 1 6
Cartesian
0.0000 0.0000 0.0000 Er
2.6664 1.5394 2.3587 Pa
0.0000 3.0789 0.0000 Al
-0.8759 1.7275 1.0945 O
-1.6083 2.9959 3.6228 O
0.8759 1.7275 3.6228 O
-0.7323 4.5131 1.0945 O
1.6083 2.9959 1.0945 O
0.7323 4.5131 3.6228 O

=====

[3]
HfC2I | Alexandria | PBE-GGA | relaxed; E above lowest polymorph = 675.9 meV per atom; Fermi-level density of states = 4.716 states/eV per cell; E_form (uncorrected) = 2.07 eV/atom
1.0
0.0000 3.0453 3.0453
3.0453 0.0000 3.0453
3.0453 3.0453 0.0000
Hf C I
1 2 1
Cartesian
0.0000 0.0000 0.0000 Hf
1.5226 1.5226 1.5226 C
4.5679 4.5679 4.5679 C
3.0453 3.0453 3.0453 I

=====

| no. | raw total energy (eV per cell) |
| --- | --- |
| 1 | -48.6 |
| 2 | -75.0 |
| 3 | -21.7 |